1.
A geometry-optimized TlAgClO structure, computed with PBE.

As for the total energy: -3.486 eV per atom. The calculated volume comes out at 509.0 Å³/cell. The value obtained for the uncorrected formation energy is -0.4801 eV per atom.

a b c (Å): 3.6536 3.6536 44.0312
angles (deg): 90.00 90.00 120.00
With the nearest neighbours (Å) after each atom.
Space group R-3m (No. 166, hexagonal axes)
Asymmetric unit:
Tl: 0.0000 0.0000 0.0000 (multiplicity 3)  6 Cl 3.16
Tl: 0.0000 0.0000 0.5000 (multiplicity 3)  6 O 2.36
Ag: 0.0000 0.0000 0.2398 (multiplicity 6)  1 O 2.16
Cl: 0.0000 0.0000 0.3866 (multiplicity 6)  3 Ag 2.76
O: 0.0000 0.0000 0.1908 (multiplicity 6)  1 Ag 2.16, 3 Tl 2.36

---

2.
A geometry-optimized Tl2AgCl2O2 structure, computed with PBE.

As for the total energy: -3.555 eV per atom. The calculated volume comes out at 156.6 Å³/cell. The value obtained for the uncorrected formation energy is -0.5275 eV per atom.

a b c (Å): 3.8659 3.8659 12.0964
angles (deg): 90.00 90.00 120.00
With the nearest neighbours (Å) after each atom.
Space group P-3m1 (No. 164)
Asymmetric unit:
Tl: 0.3333 0.6667 0.1264 (multiplicity 2)  3 O 2.28
Ag: 0.0000 0.0000 0.5000 (multiplicity 1)  2 Cl 2.36
Cl: 0.0000 0.0000 0.3050 (multiplicity 2)  1 Ag 2.36
O: 0.3333 0.6667 0.9106 (multiplicity 2)  3 Tl 2.28

---

3.
A geometry-optimized ZnAg2ClO structure, computed with PBE.

As for the total energy: -2.722 eV per atom. The calculated volume comes out at 114.6 Å³/cell. The value obtained for the uncorrected formation energy is 0.0344 eV per atom.

a b c (Å): 4.1232 4.1232 6.7391
angles (deg): 90.00 90.00 90.00
With the nearest neighbours (Å) after each atom.
Space group P4/mmm (No. 123)
Asymmetric unit:
Zn: 0.0000 0.0000 0.0000 (multiplicity 1)  4 Cl 2.92
Ag: 0.0000 0.5000 0.5000 (multiplicity 2)  2 O 2.06
Cl: 0.5000 0.5000 0.0000 (multiplicity 1)  4 Zn 2.92
O: 0.5000 0.5000 0.5000 (multiplicity 1)  4 Ag 2.06

---

4.
A geometry-optimized AgOsCl structure, computed with PBE.

As for the total energy: -4.560 eV per atom. The calculated volume comes out at 51.1 Å³/cell. Its energy above the lowest structure with this stoichiometry is 0.00 eV per formula unit. The value obtained for the uncorrected formation energy is 0.7496 eV per atom.

a b c (Å): 2.9388 2.9388 6.8383
angles (deg): 90.00 90.00 120.00
With the nearest neighbours (Å) after each atom.
Space group P3m1 (No. 156)
Asymmetric unit:
Ag: 0.0000 0.0000 0.0000 (multiplicity 1)  3 Os 2.83, 6 Ag 2.94
Os: 0.3333 0.6667 0.6686 (multiplicity 1)  3 Cl 2.50
Cl: 0.6667 0.3333 0.4000 (multiplicity 1)  3 Os 2.50

---

5.
A geometry-optimized Ag2OsCl structure, computed with PBE.

As for the total energy: -3.924 eV per atom. The calculated volume comes out at 151.5 Å³/cell. Its energy above the lowest structure with this stoichiometry is 1.05 eV per formula unit. The value obtained for the uncorrected formation energy is 0.7703 eV per atom.

a b c (Å): 2.7877 4.1611 13.0592
angles (deg): 90.00 90.00 90.00
With the nearest neighbours (Å) after each atom.
Space group Immm (No. 71)
Asymmetric unit:
Ag: 0.0000 0.0000 0.1921 (multiplicity 4)  6 Ag 2.79-2.93, 2 Os 2.87
Os: 0.0000 0.5000 0.5000 (multiplicity 2)  4 Cl 2.50, 2 Os 2.79
Cl: 0.0000 0.5000 0.0000 (multiplicity 2)  4 Os 2.50, 2 Cl 2.79

---

6.
A geometry-optimized AgOs2Cl structure, computed with PBE.

As for the total energy: -5.537 eV per atom. The calculated volume comes out at 179.4 Å³/cell. Its energy above the lowest structure with this stoichiometry is 3.63 eV per formula unit. The value obtained for the uncorrected formation energy is 1.2523 eV per atom.

a b c (Å): 3.5148 3.5148 14.5201
angles (deg): 90.00 90.00 90.00
With the nearest neighbours (Å) after each atom.
Space group I4/mmm (No. 139)
Asymmetric unit:
Ag: 0.0000 0.0000 0.0000 (multiplicity 2)  4 Cl 2.49
Os: 0.0000 0.5000 0.2500 (multiplicity 4)  4 Os 2.49
Cl: 0.0000 0.0000 0.5000 (multiplicity 2)  4 Ag 2.49